The following is a GGA-PBE calculation of crystalline ZnRu2W at its relaxed geometry, from Alexandria.

The calculation puts the total energy at -8.047 eV per atom. For the formation energy, the calculation gives 0.148 eV per atom. The calculation puts the calculated density at 12.82 g/cm³.

a b c (Å): 2.7289 2.7289 7.8494
angles (deg): 90.00 90.00 90.00
Last column: nearest neighbours and their distance in Å.
Space group P4mm (No. 99)
Unique sites:
Zn: 0.0000 0.0000 0.0000 (multiplicity 1)  4 Ru 2.73, 4 Zn 2.73, 4 W 2.83
Ru: 0.0000 0.0000 0.4681 (multiplicity 1)  8 Ru 2.60-2.73, 4 W 2.86
Ru: 0.5000 0.5000 0.2452 (multiplicity 1)  8 Ru 2.60-2.73, 4 Zn 2.73
W: 0.5000 0.5000 0.7368 (multiplicity 1)  4 W 2.73, 4 Zn 2.83, 4 Ru 2.86